VASP calculation (PBE-GGA) on a relaxed ZrGaAu3 crystal.

## Properties
crystal system = orthorhombic
total DFT energy (no corrections) = -91.16 eV for the cell shown
total moment = 0.00 Bohr magnetons per cell
energy of formation from the pure elements = -0.2765 eV/atom
relative energy among the computed polymorphs = 0 meV per atom

The structure in CIF format:
```
data_ZrGaAu3
_chemical_formula_sum 'Zr4 Ga4 Au12'
_space_group_name_H-M_alt 'C m m m'
_space_group_IT_number 65
_space_group_name_Hall '-C 2 2'
_cell_length_a 4.7021
_cell_length_b 27.7453
_cell_length_c 3.0205
_cell_angle_alpha 90.00
_cell_angle_beta 90.00
_cell_angle_gamma 90.00
loop_
_atom_site_label
_atom_site_fract_x
_atom_site_fract_y
_atom_site_fract_z
Zr1 0.0000 0.1807 0.0000
Ga1 0.0000 0.3703 0.5000
Au1 0.0000 0.0870 0.5000
Au2 0.0000 0.2768 0.5000
Au3 0.0000 0.4516 0.0000
```